First-principles (PBE+U) data for a relaxed Li7Mn4CoO12 crystal, as listed in Alexandria.

Computed properties:
- volume (A^3/atom) = 8.98
- E above lowest polymorph (meV/atom) = 134

a b c (Å): 2.918 7.728 9.889
angles (deg): 100.22 90.28 100.77
Sites, in units of the cell vectors:
Li: 0.000 0.000 0.000
Li: 0.075 0.156 0.771
Li: 0.158 0.329 0.531
Li: 0.325 0.651 0.005
Li: 0.496 0.008 0.542
Li: 0.654 0.306 0.990
Li: 0.818 0.649 0.536
Mn: 0.241 0.493 0.268
Mn: 0.411 0.830 0.771
Mn: 0.575 0.162 0.267
Mn: 0.908 0.828 0.271
Co: 0.729 0.463 0.763
O: 0.031 0.070 0.376
O: 0.114 0.244 0.159
O: 0.206 0.415 0.889
O: 0.288 0.585 0.658
O: 0.370 0.747 0.377
O: 0.446 0.906 0.162
O: 0.525 0.054 0.885
O: 0.622 0.254 0.643
O: 0.700 0.410 0.376
O: 0.788 0.589 0.162
O: 0.871 0.746 0.878
O: 0.942 0.895 0.657

First-principles (PBE+U) data for a relaxed Li4MnCo2O7 crystal, as listed in Alexandria.

Computed properties:
- volume (A^3/atom) = 8.75
- E above lowest polymorph (meV/atom) = 71

a b c (Å): 9.734 9.734 9.717
angles (deg): 113.63 113.63 16.93
Sites, in units of the cell vectors:
Li: 0.000 0.000 0.000
Li: 0.074 0.074 0.788
Li: 0.206 0.206 0.344
Li: 0.356 0.356 0.934
Li: 0.503 0.503 0.489
Li: 0.631 0.631 0.047
Li: 0.783 0.783 0.655
Li: 0.929 0.929 0.202
Mn: 0.433 0.433 0.723
Mn: 0.855 0.855 0.428
Co: 0.143 0.143 0.565
Co: 0.282 0.282 0.136
Co: 0.564 0.564 0.271
Co: 0.713 0.713 0.851
O: 0.037 0.037 0.374
O: 0.100 0.100 0.186
O: 0.179 0.179 0.945
O: 0.246 0.246 0.754
O: 0.328 0.328 0.534
O: 0.390 0.390 0.340
O: 0.471 0.471 0.118
O: 0.527 0.527 0.868
O: 0.616 0.616 0.669
O: 0.666 0.666 0.456
O: 0.759 0.759 0.266
O: 0.811 0.811 0.022
O: 0.896 0.896 0.805
O: 0.956 0.956 0.606

First-principles (PBE+U) data for a relaxed Li4MnCo2O7 crystal, as listed in Alexandria.

Computed properties:
- volume (A^3/atom) = 8.79
- E above lowest polymorph (meV/atom) = 44

a b c (Å): 5.172 5.887 8.593
angles (deg): 91.83 94.43 109.12
Sites, in units of the cell vectors:
Li: 0.000 0.000 0.000
Li: 0.000 0.500 0.000
Li: 0.142 0.285 0.284
Li: 0.287 0.571 0.572
Li: 0.420 0.851 0.861
Li: 0.580 0.149 0.139
Li: 0.713 0.429 0.428
Li: 0.858 0.715 0.716
Mn: 0.428 0.355 0.856
Mn: 0.572 0.645 0.144
Co: 0.143 0.786 0.286
Co: 0.285 0.070 0.572
Co: 0.715 0.930 0.428
Co: 0.857 0.214 0.714
O: 0.020 0.768 0.494
O: 0.150 0.501 0.787
O: 0.161 0.044 0.781
O: 0.302 0.805 0.091
O: 0.315 0.333 0.067
O: 0.407 0.090 0.366
O: 0.449 0.622 0.352
O: 0.551 0.378 0.648
O: 0.593 0.910 0.634
O: 0.685 0.667 0.933
O: 0.698 0.195 0.909
O: 0.839 0.956 0.219
O: 0.850 0.499 0.213
O: 0.980 0.232 0.506

First-principles (PBE+U) data for a relaxed Li2MnCo3O8 crystal, as listed in Alexandria.

Computed properties:
- volume (A^3/atom) = 10.21
- E above lowest polymorph (meV/atom) = 97

a b c (Å): 5.997 5.997 9.961
angles (deg): 106.92 106.92 57.83
Sites, in units of the cell vectors:
Li: 0.225 0.275 0.249
Li: 0.275 0.225 0.749
Li: 0.725 0.775 0.251
Li: 0.775 0.725 0.751
Mn: 0.274 0.726 0.750
Mn: 0.726 0.274 0.250
Co: 0.000 0.000 0.000
Co: 0.000 0.000 0.500
Co: 0.226 0.774 0.250
Co: 0.500 0.500 0.000
Co: 0.500 0.500 0.500
Co: 0.774 0.226 0.750
O: 0.079 0.118 0.365
O: 0.113 0.674 0.369
O: 0.118 0.079 0.865
O: 0.172 0.609 0.870
O: 0.326 0.887 0.131
O: 0.375 0.429 0.136
O: 0.391 0.828 0.630
O: 0.429 0.375 0.636
O: 0.571 0.625 0.364
O: 0.609 0.172 0.370
O: 0.625 0.571 0.864
O: 0.674 0.113 0.869
O: 0.828 0.391 0.130
O: 0.882 0.921 0.135
O: 0.887 0.326 0.631
O: 0.921 0.882 0.635

First-principles (PBE+U) data for a relaxed Li4MnCo2O7 crystal, as listed in Alexandria.

Computed properties:
- volume (A^3/atom) = 8.81
- E above lowest polymorph (meV/atom) = 52

a b c (Å): 5.920 6.441 7.632
angles (deg): 103.73 111.22 103.46
Sites, in units of the cell vectors:
Li: 0.000 0.000 0.000
Li: 0.073 0.589 0.866
Li: 0.233 0.729 0.583
Li: 0.348 0.861 0.285
Li: 0.485 0.993 0.998
Li: 0.662 0.143 0.723
Li: 0.779 0.284 0.429
Li: 0.922 0.426 0.144
Mn: 0.290 0.285 0.432
Mn: 0.415 0.432 0.140
Co: 0.151 0.143 0.719
Co: 0.581 0.580 0.869
Co: 0.727 0.723 0.583
Co: 0.849 0.862 0.287
O: 0.068 0.290 0.930
O: 0.110 0.871 0.776
O: 0.219 0.422 0.654
O: 0.261 0.023 0.513
O: 0.309 0.547 0.346
O: 0.391 0.169 0.226
O: 0.450 0.707 0.079
O: 0.539 0.313 0.951
O: 0.615 0.835 0.776
O: 0.663 0.436 0.629
O: 0.765 0.989 0.502
O: 0.780 0.585 0.351
O: 0.927 0.148 0.248
O: 0.928 0.721 0.077

First-principles (PBE+U) data for a relaxed Li4MnCo2O7 crystal, as listed in Alexandria.

Computed properties:
- volume (A^3/atom) = 8.94
- E above lowest polymorph (meV/atom) = 83

a b c (Å): 2.980 5.063 17.124
angles (deg): 85.14 87.96 76.58
Sites, in units of the cell vectors:
Li: 0.000 0.000 0.000
Li: 0.030 0.995 0.505
Li: 0.178 0.721 0.293
Li: 0.306 0.407 0.574
Li: 0.450 0.132 0.859
Li: 0.583 0.862 0.145
Li: 0.743 0.582 0.433
Li: 0.826 0.289 0.714
Mn: 0.288 0.435 0.072
Mn: 0.876 0.292 0.220
Co: 0.142 0.710 0.786
Co: 0.472 0.140 0.369
Co: 0.592 0.845 0.640
Co: 0.693 0.580 0.927
O: 0.040 0.839 0.890
O: 0.122 0.883 0.396
O: 0.206 0.569 0.178
O: 0.240 0.584 0.684
O: 0.364 0.310 0.966
O: 0.389 0.281 0.459
O: 0.540 0.025 0.263
O: 0.554 0.946 0.749
O: 0.619 0.707 0.031
O: 0.664 0.708 0.550
O: 0.732 0.468 0.822
O: 0.804 0.414 0.324
O: 0.939 0.105 0.615
O: 0.963 0.158 0.114

- volume of number 3 (Li4MnCo2O7)?
  8.79 A^3/atom

- Look up the E above lowest polymorph of the fifth one.
  52 meV/atom

- Among the records above, which one has the highest E above lowest polymorph?
  Li7Mn4CoO12

- What is the formula in the fourth record?
  Li2MnCo3O8